Record 1
Computed, not measured: crystalline Pu4ZnRh2 at its relaxed geometry at the GGA-PBE level of DFT.

a = 4.7204 Å, b = 4.7204 Å, c = 19.3660 Å
α = 90.00°, β = 90.00°, γ = 120.00°
Space group R-3m (No. 166, hexagonal axes)
Inequivalent atoms, fractional coordinates:
1 Pu 0.0000 0.0000 0.0797 [6 per cell]
2 Pu 0.0000 0.0000 0.2187 [6 per cell]
3 Zn 0.0000 0.0000 0.5000 [3 per cell]
4 Rh 0.0000 0.0000 0.3631 [6 per cell]

## Properties
Calculated total energy   -10.68 eV per atom



Record 2
Computed, not measured: crystalline Pu4ZnRh4 at its relaxed geometry at the GGA-PBE level of DFT.

a = 7.953 Å, b = 7.953 Å, c = 4.796 Å
α = 90.00°, β = 90.00°, γ = 90.00°
Space group I4/m (No. 87)
Inequivalent atoms, fractional coordinates:
1 Pu 0.140 0.161 0.000 [8 per cell]
2 Zn 0.000 0.000 0.500 [2 per cell]
3 Rh 0.022 0.665 0.500 [8 per cell]

## Properties
Calculated total energy   -9.89 eV per atom



Record 3
Computed, not measured: crystalline Pu2Zn3Rh at its relaxed geometry at the GGA-PBE level of DFT.

a = 9.174 Å, b = 5.327 Å, c = 5.463 Å
α = 90.00°, β = 124.00°, γ = 90.00°
Space group C2/m (No. 12)
Inequivalent atoms, fractional coordinates:
1 Pu 0.129 0.000 0.388 [4 per cell]
2 Zn 0.000 0.500 0.000 [2 per cell]
3 Zn 0.250 0.250 0.000 [4 per cell]
4 Rh 0.000 0.500 0.500 [2 per cell]

## Properties
Calculated total energy   -6.92 eV per atom



Record 4
Computed, not measured: crystalline Pu3ZnRh6 at its relaxed geometry at the GGA-PBE level of DFT.

a = 7.942 Å, b = 4.615 Å, c = 10.199 Å
α = 90.00°, β = 111.73°, γ = 90.00°
Space group P2_1/m (No. 11)
Inequivalent atoms, fractional coordinates:
1 Pu 0.038 0.250 0.383 [2 per cell]
2 Pu 0.151 0.750 0.218 [2 per cell]
3 Pu 0.294 0.250 0.987 [2 per cell]
4 Zn 0.455 0.250 0.568 [2 per cell]
5 Rh 0.042 0.750 0.920 [2 per cell]
6 Rh 0.187 0.250 0.671 [2 per cell]
7 Rh 0.262 0.750 0.523 [2 per cell]
8 Rh 0.332 0.750 0.826 [2 per cell]
9 Rh 0.376 0.250 0.292 [2 per cell]
10 Rh 0.453 0.750 0.151 [2 per cell]

## Properties
Calculated total energy   -9.23 eV per atom



Record 5
Computed, not measured: crystalline Pu3Zn9Rh2 at its relaxed geometry at the GGA-PBE level of DFT.

a = 4.453 Å, b = 9.525 Å, c = 11.752 Å
α = 90.00°, β = 90.00°, γ = 90.00°
Space group Immm (No. 71)
Inequivalent atoms, fractional coordinates:
1 Pu 0.000 0.000 0.000 [2 per cell]
2 Pu 0.000 0.000 0.296 [4 per cell]
3 Zn 0.000 0.279 0.128 [8 per cell]
4 Zn 0.000 0.360 0.347 [8 per cell]
5 Zn 0.000 0.500 0.000 [2 per cell]
6 Rh 0.000 0.160 0.500 [4 per cell]

## Properties
Calculated total energy   -5.19 eV per atom



Record 6
Computed, not measured: crystalline Pu2ZnRh6 at its relaxed geometry at the GGA-PBE level of DFT.

a = 5.5836 Å, b = 5.5836 Å, c = 5.7451 Å
α = 90.00°, β = 90.00°, γ = 120.00°
Space group P-3m1 (No. 164)
Inequivalent atoms, fractional coordinates:
1 Pu 0.3333 0.6667 0.3149 [2 per cell]
2 Zn 0.0000 0.0000 0.5000 [1 per cell]
3 Rh 0.1759 0.3518 0.8212 [6 per cell]

## Properties
Calculated total energy   -8.53 eV per atom



Record 7
Computed, not measured: crystalline PuZn2Rh at its relaxed geometry at the GGA-PBE level of DFT.

a = 6.596 Å, b = 6.596 Å, c = 6.596 Å
α = 90.00°, β = 90.00°, γ = 90.00°
Space group Fm-3m (No. 225)
Inequivalent atoms, fractional coordinates:
1 Pu 0.000 0.000 0.000 [4 per cell]
2 Zn 0.250 0.250 0.250 [8 per cell]
3 Rh 0.000 0.000 0.500 [4 per cell]

## Properties
Calculated total energy   -6.15 eV per atom



Record 8
Computed, not measured: crystalline PuZn3Rh at its relaxed geometry at the GGA-PBE level of DFT.

a = 5.145 Å, b = 5.516 Å, c = 6.772 Å
α = 90.00°, β = 111.37°, γ = 90.00°
Space group P2_1/m (No. 11)
Inequivalent atoms, fractional coordinates:
1 Pu 0.202 0.250 0.128 [2 per cell]
2 Zn 0.218 0.013 0.675 [4 per cell]
3 Zn 0.313 0.750 0.385 [2 per cell]
4 Rh 0.364 0.750 0.021 [2 per cell]

## Properties
Energy relative to the lowest polymorph listed for this composition   0 meV/atom



Record 9
Computed, not measured: crystalline Pu2Zn16Rh at its relaxed geometry at the GGA-PBE level of DFT.

a = 8.9987 Å, b = 8.9987 Å, c = 13.1630 Å
α = 90.00°, β = 90.00°, γ = 120.00°
Space group R3m (No. 160, hexagonal axes)
Inequivalent atoms, fractional coordinates:
1 Pu 0.0000 0.0000 0.0000 [3 per cell]
2 Pu 0.0000 0.0000 0.3281 [3 per cell]
3 Zn 0.0000 0.0000 0.7613 [3 per cell]
4 Zn 0.0001 0.2889 0.6571 [18 per cell]
5 Zn 0.0018 0.5009 0.8086 [9 per cell]
6 Zn 0.0048 0.5024 0.1580 [9 per cell]
7 Zn 0.1714 0.3428 0.8432 [9 per cell]
8 Rh 0.0000 0.0000 0.5581 [3 per cell]

## Properties
Calculated total energy   -3.15 eV per atom



Record 10
Computed, not measured: crystalline PuZn2Rh3 at its relaxed geometry at the GGA-PBE level of DFT.

a = 4.4546 Å, b = 4.4546 Å, c = 11.0674 Å
α = 90.00°, β = 90.00°, γ = 120.00°
Space group P-3m1 (No. 164)
Inequivalent atoms, fractional coordinates:
1 Pu 0.3333 0.6667 0.1729 [2 per cell]
2 Zn 0.0000 0.0000 0.0000 [1 per cell]
3 Zn 0.0000 0.0000 0.5000 [1 per cell]
4 Zn 0.3333 0.6667 0.6540 [2 per cell]
5 Rh 0.0000 0.0000 0.2656 [2 per cell]
6 Rh 0.3333 0.6667 0.4197 [2 per cell]
7 Rh 0.3333 0.6667 0.9175 [2 per cell]

## Properties
Calculated total energy   -6.95 eV per atom



Record 11
Computed, not measured: crystalline Pu2ZrRh3 at its relaxed geometry at the GGA-PBE level of DFT.

a = 4.691 Å, b = 14.974 Å, c = 3.330 Å
α = 90.00°, β = 90.00°, γ = 90.00°
Space group Pmmn (No. 59, origin choice 2)
Inequivalent atoms, fractional coordinates:
1 Pu 0.250 0.077 0.007 [4 per cell]
2 Zr 0.250 0.750 0.996 [2 per cell]
3 Rh 0.250 0.250 0.502 [2 per cell]
4 Rh 0.250 0.604 0.496 [4 per cell]

## Properties
Energy relative to the lowest polymorph listed for this composition   0 meV/atom



Record 12
Computed, not measured: crystalline Pu2ZrRh3 at its relaxed geometry at the GGA-PBE level of DFT.

a = 14.905 Å, b = 5.611 Å, c = 5.612 Å
α = 90.00°, β = 99.99°, γ = 90.00°
Space group C2/c (No. 15)
Inequivalent atoms, fractional coordinates:
1 Pu 0.173 0.097 0.131 [8 per cell]
2 Zr 0.000 0.339 0.750 [4 per cell]
3 Rh 0.000 0.143 0.250 [4 per cell]
4 Rh 0.151 0.422 0.527 [8 per cell]

## Properties
Energy relative to the lowest polymorph listed for this composition   22 meV/atom



no.,M_tot (μB/atom)
1,0.039
2,0.236
3,1.859
4,1.272
5,0.349
6,0.841
7,1.287
8,1.022
9,0.586
10,0.715
11,1.705
12,1.722